Material: Co2OsCl
Method: DFT, GGA-PBEsol
State: relaxed

a b c (Å): 2.636 4.424 4.424
angles (deg): 90.00 90.00 90.00
Site moments in Bohr magnetons follow the coordinates.
Positions (direct):
Co 0.000 0.000 0.500  1.45
Co 0.000 0.500 0.000  1.45
Os 0.500 0.500 0.500  0.51
Cl 0.500 0.000 0.000  0.16

Summary:
energy	-6.5618	eV/atom
energy relative to the lowest polymorph listed for this composition	0	meV per atom
total magnetization	3.588	μB/f.u.